LuZnPt: single point on PBEsol structure, SCAN.

E_tot	-47.539	eV per atom

The structure in POSCAR format:
```
LuZnPt
1.0
6.782 0.000 0.000
0.000 3.949 0.000
0.000 0.000 8.073
Lu Zn Pt
4 4 4
Direct
0.050 0.250 0.184 Lu
0.450 0.750 0.684 Lu
0.550 0.250 0.316 Lu
0.950 0.750 0.816 Lu
0.130 0.250 0.563 Zn
0.370 0.750 0.063 Zn
0.630 0.250 0.937 Zn
0.870 0.750 0.437 Zn
0.244 0.250 0.874 Pt
0.256 0.750 0.374 Pt
0.744 0.250 0.626 Pt
0.756 0.750 0.126 Pt
```



SrAlZn: single point on PBEsol structure, SCAN.

E_tot	-14.754	eV per atom

The structure in POSCAR format:
```
SrAlZn
1.0
4.630 0.000 0.000
-2.315 4.010 0.000
0.000 0.000 3.953
Sr Al Zn
1 1 1
Direct
0.000 0.000 0.000 Sr
0.667 0.333 0.500 Al
0.333 0.667 0.500 Zn
```



Ba2TeAs: single point on PBEsol structure, SCAN.

energy relative to the elements, uncorrected	-1.078	eV per atom

The structure in POSCAR format:
```
Ba2TeAs
1.0
-3.582 3.582 8.201
3.582 -3.582 8.201
3.582 3.582 -8.201
Ba Te As
4 2 2
Direct
0.102 0.625 0.977 Ba
0.375 0.352 0.477 Ba
0.648 0.125 0.023 Ba
0.875 0.898 0.523 Ba
0.250 0.750 0.500 Te
0.500 0.500 0.000 Te
0.000 0.000 0.000 As
0.750 0.250 0.500 As
```



OsPt2Cl: single point on PBEsol structure, SCAN.

energy relative to the elements, uncorrected	1.198	eV per atom
E above lowest polymorph	760	meV per atom

The structure in POSCAR format:
```
OsPt2Cl
1.0
3.749 0.000 0.000
0.000 3.749 0.000
0.000 0.000 4.308
Os Pt Cl
1 2 1
Direct
0.000 0.000 0.000 Os
0.000 0.500 0.500 Pt
0.500 0.000 0.500 Pt
0.500 0.500 0.000 Cl
```



Mg2ZrMn: single point on PBEsol structure, SCAN.

E_tot	-14.613	eV per atom

The structure in POSCAR format:
```
Mg2ZrMn
1.0
2.832 -5.167 0.000
2.832 5.167 0.000
-1.149 0.000 2.618
Mg Zr Mn
2 1 1
Direct
0.000 0.500 0.000 Mg
0.500 0.000 0.000 Mg
0.000 0.000 0.500 Zr
0.500 0.500 0.500 Mn
```



Li2FeWO6: single point on PBEsol structure, SCAN.

energy relative to the elements, uncorrected	-2.032	eV per atom

The structure in POSCAR format:
```
Li2FeWO6
1.0
2.488 1.437 4.327
-2.488 1.437 4.327
0.000 -2.873 4.327
Li Fe W O
2 1 1 6
Direct
0.000 0.000 0.000 Li
0.499 0.499 0.499 Li
0.216 0.216 0.216 Fe
0.717 0.717 0.717 W
0.083 0.452 0.856 O
0.348 0.965 0.572 O
0.452 0.856 0.083 O
0.572 0.348 0.965 O
0.856 0.083 0.452 O
0.965 0.572 0.348 O
```



Cs2MgS2: single point on PBEsol structure, SCAN.

energy relative to the elements, uncorrected	-0.125	eV per atom

The structure in POSCAR format:
```
Cs2MgS2
1.0
-1.910 1.910 12.029
1.910 -1.910 12.029
1.910 1.910 -12.029
Cs Mg S
2 1 2
Direct
0.138 0.138 0.000 Cs
0.862 0.862 0.000 Cs
0.500 0.500 0.000 Mg
0.250 0.750 0.500 S
0.750 0.250 0.500 S
```



ZrBe2RhSe: single point on PBEsol structure, SCAN.

energy relative to the elements, uncorrected	1.347	eV per atom

The structure in POSCAR format:
```
ZrBe2RhSe
1.0
4.464 0.000 0.000
0.000 4.464 0.000
0.000 0.000 4.869
Zr Be Rh Se
1 2 1 1
Direct
0.000 0.000 0.000 Zr
0.000 0.500 0.000 Be
0.500 0.000 0.000 Be
0.500 0.500 0.500 Rh
0.000 0.000 0.500 Se
```



HgPbAu2: single point on PBEsol structure, SCAN.

E above lowest polymorph	35	meV per atom

The structure in POSCAR format:
```
HgPbAu2
1.0
3.996 -2.079 0.000
3.996 2.079 0.000
-2.160 0.000 5.411
Hg Pb Au
1 1 2
Direct
0.000 0.000 0.000 Hg
0.500 0.500 0.500 Pb
0.257 0.257 0.782 Au
0.743 0.743 0.218 Au
```



Zr2MnBe: single point on PBEsol structure, SCAN.

E_tot	-21.115	eV per atom

The structure in POSCAR format:
```
Zr2MnBe
1.0
3.175 0.000 0.000
0.000 3.175 0.000
0.000 0.000 6.150
Zr Mn Be
2 1 1
Direct
0.000 0.000 0.247 Zr
0.000 0.000 0.753 Zr
0.500 0.500 0.000 Mn
0.500 0.500 0.500 Be
```



HfNbP2O: single point on PBEsol structure, SCAN.

energy relative to the elements, uncorrected	-0.496	eV per atom
E above lowest polymorph	137	meV per atom

The structure in POSCAR format:
```
HfNbP2O
1.0
4.945 0.000 0.000
0.000 4.945 0.000
0.000 0.000 3.807
Hf Nb P O
1 1 2 1
Direct
0.000 0.000 0.000 Hf
0.500 0.500 0.500 Nb
0.000 0.500 0.000 P
0.500 0.000 0.000 P
0.000 0.000 0.500 O
```



BeCdRe: single point on PBEsol structure, SCAN.

E above lowest polymorph	26	meV per atom

The structure in POSCAR format:
```
BeCdRe
1.0
2.763 0.000 0.000
-1.381 2.392 0.000
0.000 0.000 6.586
Be Cd Re
1 1 1
Direct
0.000 0.000 0.000 Be
0.333 0.667 0.660 Cd
0.667 0.333 0.279 Re
```



Zr7Ni10: single point on PBEsol structure, SCAN.

E_tot	-22.642	eV per atom

The structure in POSCAR format:
```
Zr7Ni10
1.0
6.122 -4.526 0.000
6.122 4.526 0.000
0.000 0.000 9.050
Zr Ni
14 20
Direct
0.000 0.000 0.000 Zr
0.002 0.498 0.250 Zr
0.186 0.814 0.687 Zr
0.191 0.191 0.500 Zr
0.309 0.309 0.000 Zr
0.314 0.686 0.187 Zr
0.498 0.002 0.750 Zr
0.500 0.500 0.500 Zr
0.502 0.998 0.250 Zr
0.686 0.314 0.813 Zr
0.691 0.691 0.000 Zr
0.809 0.809 0.500 Zr
0.814 0.186 0.313 Zr
0.998 0.502 0.750 Zr
0.063 0.647 0.992 Ni
0.106 0.894 0.395 Ni
0.137 0.154 0.793 Ni
0.147 0.563 0.492 Ni
0.154 0.137 0.207 Ni
0.346 0.363 0.707 Ni
0.353 0.937 0.992 Ni
0.363 0.346 0.293 Ni
0.394 0.606 0.895 Ni
0.437 0.853 0.492 Ni
0.563 0.147 0.508 Ni
0.606 0.394 0.105 Ni
0.637 0.654 0.707 Ni
0.647 0.063 0.008 Ni
0.654 0.637 0.293 Ni
0.846 0.863 0.793 Ni
0.853 0.437 0.508 Ni
0.863 0.846 0.207 Ni
0.894 0.106 0.605 Ni
0.937 0.353 0.008 Ni
```



LaZn2Ru: single point on PBEsol structure, SCAN.

E_tot	-26.490	eV per atom

The structure in POSCAR format:
```
LaZn2Ru
1.0
3.725 -2.147 0.000
3.725 2.147 0.000
-2.491 0.000 4.940
La Zn Ru
1 2 1
Direct
0.000 0.000 0.000 La
0.198 0.198 0.598 Zn
0.485 0.485 0.457 Zn
0.797 0.797 0.395 Ru
```



CuH6C2SeCl: single point on PBEsol structure, SCAN.

E_tot	-7.879	eV per atom

The structure in POSCAR format:
```
CuH6C2SeCl
1.0
7.196 0.000 0.000
0.000 6.648 0.000
-1.344 0.000 10.856
Cu H C Se Cl
4 24 8 4 4
Direct
0.001 0.044 0.381 Cu
0.001 0.456 0.881 Cu
0.999 0.544 0.119 Cu
0.999 0.956 0.619 Cu
0.124 0.567 0.446 H
0.124 0.933 0.946 H
0.303 0.018 0.856 H
0.303 0.482 0.356 H
0.329 0.018 0.154 H
0.329 0.482 0.654 H
0.342 0.705 0.453 H
0.342 0.795 0.953 H
0.428 0.734 0.665 H
0.428 0.766 0.165 H
0.453 0.571 0.799 H
0.453 0.929 0.299 H
0.547 0.071 0.701 H
0.547 0.429 0.201 H
0.572 0.234 0.835 H
0.572 0.266 0.335 H
0.658 0.205 0.047 H
0.658 0.295 0.547 H
0.671 0.518 0.346 H
0.671 0.982 0.846 H
0.697 0.518 0.644 H
0.697 0.982 0.144 H
0.876 0.067 0.054 H
0.876 0.433 0.554 H
0.239 0.614 0.395 C
0.239 0.886 0.895 C
0.363 0.613 0.714 C
0.363 0.887 0.214 C
0.637 0.113 0.786 C
0.637 0.387 0.286 C
0.761 0.114 0.105 C
0.761 0.386 0.605 C
0.128 0.713 0.762 Se
0.128 0.787 0.262 Se
0.872 0.213 0.738 Se
0.872 0.287 0.238 Se
0.234 0.127 0.534 Cl
0.234 0.373 0.034 Cl
0.766 0.627 0.966 Cl
0.766 0.873 0.466 Cl
```



BeCr2: single point on PBEsol structure, SCAN.

E_tot	-12.863	eV per atom

The structure in POSCAR format:
```
BeCr2
1.0
3.933 0.000 0.000
0.000 3.933 0.000
0.000 0.000 2.184
Be Cr
1 2
Direct
0.000 0.000 0.000 Be
0.000 0.500 0.500 Cr
0.500 0.000 0.500 Cr
```



CaMg30NiO32: single point on PBEsol structure, SCAN.

energy relative to the elements, uncorrected	-2.953	eV per atom

The structure in POSCAR format:
```
CaMg30NiO32
1.0
8.474 0.000 0.000
0.000 8.474 0.000
0.000 0.000 8.475
Ca Mg Ni O
1 30 1 32
Direct
0.000 0.000 0.000 Ca
0.000 0.000 0.500 Mg
0.000 0.253 0.253 Mg
0.000 0.253 0.747 Mg
0.000 0.500 0.000 Mg
0.000 0.500 0.500 Mg
0.000 0.747 0.253 Mg
0.000 0.747 0.747 Mg
0.250 0.250 0.500 Mg
0.250 0.750 0.500 Mg
0.251 0.500 0.249 Mg
0.251 0.500 0.751 Mg
0.253 0.000 0.253 Mg
0.253 0.000 0.747 Mg
0.254 0.254 0.000 Mg
0.254 0.746 0.000 Mg
0.500 0.000 0.000 Mg
0.500 0.000 0.500 Mg
0.500 0.251 0.249 Mg
0.500 0.251 0.751 Mg
0.500 0.500 0.500 Mg
0.500 0.749 0.249 Mg
0.500 0.749 0.751 Mg
0.746 0.254 0.000 Mg
0.746 0.746 0.000 Mg
0.747 0.000 0.253 Mg
0.747 0.000 0.747 Mg
0.749 0.500 0.249 Mg
0.749 0.500 0.751 Mg
0.750 0.250 0.500 Mg
0.750 0.750 0.500 Mg
0.500 0.500 0.000 Ni
0.000 0.000 0.262 O
0.000 0.000 0.738 O
0.000 0.252 0.500 O
0.000 0.262 0.000 O
0.000 0.500 0.252 O
0.000 0.500 0.748 O
0.000 0.738 0.000 O
0.000 0.748 0.500 O
0.250 0.250 0.250 O
0.250 0.250 0.750 O
0.250 0.750 0.250 O
0.250 0.750 0.750 O
0.251 0.500 0.000 O
0.251 0.500 0.500 O
0.252 0.000 0.500 O
0.262 0.000 0.000 O
0.500 0.000 0.252 O
0.500 0.000 0.748 O
0.500 0.251 0.000 O
0.500 0.251 0.500 O
0.500 0.500 0.251 O
0.500 0.500 0.749 O
0.500 0.749 0.000 O
0.500 0.749 0.500 O
0.738 0.000 0.000 O
0.748 0.000 0.500 O
0.749 0.500 0.000 O
0.749 0.500 0.500 O
0.750 0.250 0.250 O
0.750 0.250 0.750 O
0.750 0.750 0.250 O
0.750 0.750 0.750 O
```



ZnSiRh2: single point on PBEsol structure, SCAN.

energy relative to the elements, uncorrected	-0.367	eV per atom
E above lowest polymorph	408	meV per atom

The structure in POSCAR format:
```
ZnSiRh2
1.0
-1.783 1.783 4.113
1.783 -1.783 4.113
1.783 1.783 -4.113
Zn Si Rh
1 1 2
Direct
0.000 0.000 0.000 Zn
0.250 0.750 0.500 Si
0.500 0.500 0.000 Rh
0.750 0.250 0.500 Rh
```



KAl2Tc: single point on PBEsol structure, SCAN.

E above lowest polymorph	959	meV per atom

The structure in POSCAR format:
```
KAl2Tc
1.0
0.000 3.289 3.289
3.289 0.000 3.289
3.289 3.289 0.000
K Al Tc
1 2 1
Direct
0.000 0.000 0.000 K
0.250 0.250 0.250 Al
0.500 0.500 0.500 Al
0.750 0.750 0.750 Tc
```



NaZn2Sn2: single point on PBEsol structure, SCAN.

E above lowest polymorph	0	meV per atom

The structure in POSCAR format:
```
NaZn2Sn2
1.0
-2.208 2.208 5.902
2.208 -2.208 5.902
2.208 2.208 -5.902
Na Zn Sn
1 2 2
Direct
0.000 0.000 0.000 Na
0.250 0.750 0.500 Zn
0.750 0.250 0.500 Zn
0.381 0.381 0.000 Sn
0.619 0.619 0.000 Sn
```



Volume per entry: 216.2; 73.4; 421.0; 60.5; 76.6; 92.8; 175.6; 97.0; 89.9; 62.0; 93.1; 43.5; 501.5; 79.0; 519.3; 33.8; 608.5; 52.3; 71.2; 115.1 Å³ per cell